Ga3Sn5Br12, optimized geometry, DFT GGA-PBE; crystal system = cubic; total moment = 0.0 μB/cell; DOS(E_F) = 31.00 states/eV per cell; E_tot = -2.988 eV per atom; raw formation energy = -530 meV/atom; space-group type = Ia-3d, No. 230
1.0
-7.345 -5.802 12.823
12.306 -9.316 -3.718
5.213 14.677 3.075
Ga Br Sn
12 48 20
Direct
0.250 0.625 0.875 Ga
0.125 0.250 0.875 Ga
0.250 0.125 0.375 Ga
0.375 0.750 0.625 Ga
0.625 0.375 0.750 Ga
0.125 0.875 0.750 Ga
0.875 0.750 0.125 Ga
0.750 0.375 0.125 Ga
0.375 0.625 0.250 Ga
0.750 0.875 0.625 Ga
0.875 0.125 0.250 Ga
0.625 0.250 0.375 Ga
0.580 0.623 0.406 Br
0.284 0.406 0.826 Br
0.326 0.784 0.406 Br
0.623 0.042 0.216 Br
0.958 0.377 0.284 Br
0.123 0.406 0.080 Br
0.420 0.042 0.326 Br
0.784 0.458 0.377 Br
0.284 0.877 0.958 Br
0.174 0.094 0.716 Br
0.094 0.920 0.377 Br
0.542 0.216 0.123 Br
0.377 0.958 0.784 Br
0.458 0.674 0.080 Br
0.123 0.716 0.542 Br
0.877 0.594 0.920 Br
0.674 0.216 0.594 Br
0.094 0.174 0.216 Br
0.042 0.420 0.826 Br
0.377 0.420 0.094 Br
0.420 0.377 0.594 Br
0.877 0.284 0.458 Br
0.906 0.826 0.784 Br
0.042 0.623 0.716 Br
0.594 0.716 0.674 Br
0.826 0.906 0.284 Br
0.594 0.877 0.420 Br
0.623 0.580 0.906 Br
0.542 0.326 0.920 Br
0.784 0.326 0.906 Br
0.716 0.123 0.042 Br
0.174 0.080 0.958 Br
0.674 0.458 0.580 Br
0.080 0.174 0.458 Br
0.216 0.674 0.094 Br
0.920 0.094 0.877 Br
0.906 0.080 0.623 Br
0.406 0.284 0.326 Br
0.580 0.958 0.674 Br
0.716 0.594 0.174 Br
0.920 0.826 0.542 Br
0.216 0.542 0.623 Br
0.958 0.580 0.174 Br
0.458 0.784 0.877 Br
0.406 0.123 0.580 Br
0.326 0.542 0.420 Br
0.826 0.920 0.042 Br
0.080 0.906 0.123 Br
0.000 0.500 0.500 Sn
0.250 0.875 0.125 Sn
0.875 0.250 0.625 Sn
0.625 0.875 0.250 Sn
0.500 0.500 0.000 Sn
0.000 0.000 0.000 Sn
0.000 0.000 0.500 Sn
0.875 0.625 0.750 Sn
0.750 0.125 0.875 Sn
0.625 0.750 0.875 Sn
0.500 0.000 0.000 Sn
0.500 0.000 0.500 Sn
0.750 0.625 0.375 Sn
0.125 0.750 0.375 Sn
0.000 0.500 0.000 Sn
0.375 0.250 0.125 Sn
0.125 0.375 0.250 Sn
0.500 0.500 0.500 Sn
0.375 0.125 0.750 Sn
0.250 0.375 0.625 Sn

Zn2CoRe, optimized geometry, DFT GGA-PBE; ΔE to the lowest computed polymorph = 0.684 eV per atom; crystal system = tetragonal; total moment = 0.0 μB/cell; DOS(E_F) = 10.87 states/eV per cell; E_tot = -4.824 eV per atom; ΔH_f (0 K) = 0.70 eV per atom; space-group type = I-42d, No. 122
1.0
6.772 0.000 0.000
0.000 6.772 0.000
3.386 3.386 2.478
Zn Co Re
4 2 2
Direct
0.149 0.625 0.250 Zn
0.601 0.125 0.250 Zn
0.375 0.399 0.750 Zn
0.875 0.851 0.750 Zn
0.500 0.500 0.000 Co
0.250 0.750 0.500 Co
0.750 0.250 0.500 Re
0.000 0.000 0.000 Re

Ni2TeW, optimized geometry, DFT GGA-PBE; crystal system = orthorhombic; total moment = 0.0 μB/cell; DOS(E_F) = 4.13 states/eV per cell; E_tot = -6.489 eV per atom; raw formation energy = 425 meV/atom; space-group type = Pmmm, No. 47
1.0
-0.324 3.122 -1.866
-0.190 -2.184 -3.622
-3.792 -0.202 0.321
W Te Ni
1 1 2
Direct
0.000 0.500 0.500 W
0.500 0.000 0.500 Te
0.500 0.500 0.000 Ni
0.000 0.000 0.000 Ni

Ce12PuSn6, optimized geometry, DFT GGA-PBE; crystal system = trigonal; total moment = 12.1 μB/cell; DOS(E_F) = 45.02 states/eV per cell; E_tot = -6.149 eV per atom; ΔH_f (0 K) = -0.38 eV per atom; space-group type = R-3, No. 148
1.0
-8.148 -2.231 -2.848
4.400 4.142 -6.554
4.436 -7.365 2.355
Ce Sn Pu
12 6 1
Direct
0.662 0.917 0.132 Ce
0.580 0.834 0.373 Ce
0.132 0.662 0.917 Ce
0.868 0.338 0.083 Ce
0.420 0.166 0.627 Ce
0.083 0.868 0.338 Ce
0.373 0.580 0.834 Ce
0.338 0.083 0.868 Ce
0.834 0.373 0.580 Ce
0.917 0.132 0.662 Ce
0.627 0.420 0.166 Ce
0.166 0.627 0.420 Ce
0.248 0.415 0.082 Sn
0.082 0.248 0.415 Sn
0.752 0.585 0.918 Sn
0.585 0.918 0.752 Sn
0.415 0.082 0.248 Sn
0.918 0.752 0.585 Sn
0.000 0.000 0.000 Pu

BC3, optimized geometry, DFT GGA-PBE; ΔE to the lowest computed polymorph = 0.079 eV per atom; crystal system = monoclinic; total moment = 0.0 μB/cell; DOS(E_F) = 0.71 states/eV per cell; E_tot = -8.267 eV per atom; ΔH_f (0 K) = 0.32 eV per atom; space-group type = Pm, No. 6
1.0
-1.683 0.655 1.846
-2.760 -1.634 -1.937
1.408 -6.763 3.683
C B
9 3
Direct
0.500 0.754 0.332 C
0.500 0.742 0.001 C
0.000 0.990 0.338 C
0.000 0.994 0.668 C
0.000 0.220 0.501 C
0.000 0.264 0.828 C
0.500 0.499 0.828 C
0.500 0.753 0.670 C
0.500 0.517 0.163 C
0.000 0.300 0.199 B
0.500 0.506 0.503 B
0.000 0.961 0.968 B

TbCeYLu, optimized geometry, DFT GGA-PBE; crystal system = cubic; total moment = 1.1 μB/cell; DOS(E_F) = 9.99 states/eV per cell; E_tot = -5.226 eV per atom; ΔH_f (0 K) = 0.16 eV per atom; space-group type = F-43m, No. 216
1.0
-2.309 -0.927 5.060
3.290 -0.489 4.553
0.036 4.069 3.903
Y Tb Ce Lu
1 1 1 1
Direct
0.750 0.750 0.750 Y
0.000 0.000 0.000 Tb
0.250 0.250 0.250 Ce
0.500 0.500 0.500 Lu

PRhBr2, optimized geometry, DFT GGA-PBE; ΔE to the lowest computed polymorph = 1.102 eV per atom; crystal system = orthorhombic; total moment = 0.0 μB/cell; DOS(E_F) = 4.01 states/eV per cell; E_tot = -3.433 eV per atom; raw formation energy = 594 meV/atom; space-group type = Fmmm, No. 69
1.0
4.787 0.004 -0.001
-0.876 4.706 -0.001
1.959 2.359 3.668
Rh P Br
1 1 2
Direct
0.000 0.500 0.500 Rh
0.500 0.000 0.500 P
0.500 0.500 0.000 Br
0.000 0.000 0.000 Br

LaHfVSe2, optimized geometry, DFT GGA-PBE; crystal system = tetragonal; total moment = 0.0 μB/cell; DOS(E_F) = 5.41 states/eV per cell; E_tot = -6.018 eV per atom; raw formation energy = 176 meV/atom; space-group type = P4/mmm, No. 123
1.0
4.874 0.000 0.000
0.000 4.962 0.000
0.000 0.000 4.874
Se La V Hf
2 1 1 1
Direct
0.500 0.000 0.000 Se
0.000 0.000 0.500 Se
0.000 0.500 0.000 La
0.000 0.000 0.000 V
0.500 0.500 0.500 Hf